The following is a DFT calculation (PBE-GGA) of an optimized crystal structure of SrBe2Sb.

Output
The calculated volume comes out at 98.0 Å³/cell. As for the raw total energy: -3.151 eV per atom. The uncorrected formation energy comes out at 0.65 eV per formula unit.

Cell lengths 5.357, 5.357, 5.357 Å; angles 136.11, 104.86, 91.31 degrees
Sites, in units of the cell vectors:
Sr (0.226, 0.726, 0.500)
Sb (0.584, 0.584, 0.000)
Be (0.789, 0.289, 0.500)
Be (0.900, 0.900, 0.000)